# Re

Crystalline Re at its relaxed geometry (GGA-PBE, OQMD via LeMat-Bulk). Values from VASP.

polymorph energy (0 for the lowest one): 0.316 eV/f.u.

```
&SYSTEM
  ibrav = 0, nat = 1, ntyp = 1
/
ATOMIC_SPECIES
Re 186.21 Re.upf
CELL_PARAMETERS angstrom
-1.554 1.554 1.554
1.554 -1.554 1.554
1.554 1.554 -1.554
ATOMIC_POSITIONS angstrom
Re 0.000 0.000 0.000
```

=====

# Re

Crystalline Re at its relaxed geometry (GGA-PBE, OQMD via LeMat-Bulk). Values from VASP.

polymorph energy (0 for the lowest one): 0.086 eV/f.u.

```
&SYSTEM
  ibrav = 0, nat = 1, ntyp = 1
/
ATOMIC_SPECIES
Re 186.21 Re.upf
CELL_PARAMETERS angstrom
1.393 0.804 2.193
-1.393 0.804 2.193
0.000 -1.608 2.193
ATOMIC_POSITIONS angstrom
Re 0.000 0.000 0.000
```

=====

# Re

Crystalline Re at its relaxed geometry (GGA-PBE, OQMD via LeMat-Bulk). Values from VASP.

polymorph energy (0 for the lowest one): 0.422 eV/f.u.

```
&SYSTEM
  ibrav = 0, nat = 1, ntyp = 1
/
ATOMIC_SPECIES
Re 186.21 Re.upf
CELL_PARAMETERS angstrom
1.445 0.834 2.001
-1.445 0.834 2.001
0.000 -1.668 2.001
ATOMIC_POSITIONS angstrom
Re 0.000 0.000 0.000
```

=====

# Re

Crystalline Re at its relaxed geometry (GGA-PBE, OQMD via LeMat-Bulk). Values from VASP.

polymorph energy (0 for the lowest one): 0.168 eV/f.u.

```
&SYSTEM
  ibrav = 0, nat = 3, ntyp = 1
/
ATOMIC_SPECIES
Re 186.21 Re.upf
CELL_PARAMETERS angstrom
4.368 0.000 0.000
-2.184 3.782 0.000
0.000 0.000 2.741
ATOMIC_POSITIONS angstrom
Re 0.000 0.000 0.000
Re 0.000 2.522 1.370
Re 2.184 1.261 1.370
```

=====

# Re

Crystalline Re at its relaxed geometry (GGA-PBE, OQMD via LeMat-Bulk). Values from VASP.

polymorph energy (0 for the lowest one): 0.300 eV/f.u.

```
&SYSTEM
  ibrav = 0, nat = 24, ntyp = 1
/
ATOMIC_SPECIES
Re 186.21 Re.upf
CELL_PARAMETERS angstrom
5.082 0.000 0.000
-2.541 4.401 0.000
0.000 0.000 16.555
ATOMIC_POSITIONS angstrom
Re 0.000 0.000 1.487
Re 0.000 0.000 6.791
Re 0.000 0.000 9.764
Re 0.000 0.000 15.068
Re -1.270 2.200 0.000
Re -1.270 2.200 8.277
Re 0.000 1.402 4.139
Re -1.327 3.700 4.139
Re 1.214 0.701 12.416
Re 0.000 2.934 2.116
Re 0.000 2.934 6.161
Re 0.000 2.934 10.874
Re 0.000 2.934 13.958
Re 2.541 0.000 0.000
Re 2.541 0.000 8.277
Re 1.270 2.200 0.000
Re 1.270 2.200 8.277
Re 2.541 1.467 2.597
Re 2.541 1.467 5.681
Re 2.541 1.467 10.394
Re 2.541 1.467 14.438
Re 1.327 3.700 4.139
Re 3.868 0.701 12.416
Re 2.541 2.999 12.416
```

=====

# Re

Crystalline Re at its relaxed geometry (GGA-PBE, OQMD via LeMat-Bulk). Values from VASP.

polymorph energy (0 for the lowest one): 0.206 eV/f.u.

```
&SYSTEM
  ibrav = 0, nat = 13, ntyp = 1
/
ATOMIC_SPECIES
Re 186.21 Re.upf
CELL_PARAMETERS angstrom
2.528 1.460 8.979
-2.528 1.460 8.979
0.000 -2.920 8.979
ATOMIC_POSITIONS angstrom
Re 0.000 0.000 0.000
Re 0.000 -1.435 6.857
Re -1.243 0.718 6.857
Re 0.000 0.000 4.455
Re 0.000 0.000 9.393
Re -1.243 -0.718 20.081
Re 0.000 0.000 12.226
Re 0.000 0.000 14.712
Re 1.243 0.718 6.857
Re 0.000 0.000 17.545
Re 0.000 0.000 22.482
Re 1.243 -0.718 20.081
Re 0.000 1.435 20.081
```

=====

# Re

Crystalline Re at its relaxed geometry (GGA-PBE, OQMD via LeMat-Bulk). Values from VASP.

polymorph energy (0 for the lowest one): 0.003 eV/f.u.

```
&SYSTEM
  ibrav = 0, nat = 2, ntyp = 1
/
ATOMIC_SPECIES
Re 186.21 Re.upf
CELL_PARAMETERS angstrom
1.371 -2.409 0.000
1.371 2.409 0.000
0.000 0.000 4.479
ATOMIC_POSITIONS angstrom
Re 1.371 1.619 3.359
Re 1.371 -1.619 1.120
```

=====

# Re2S

Crystalline Re2S at its relaxed geometry (GGA-PBE, OQMD via LeMat-Bulk). Values from VASP.

polymorph energy (0 for the lowest one): 6.160 eV/f.u.

```
&SYSTEM
  ibrav = 0, nat = 6, ntyp = 2
/
ATOMIC_SPECIES
Re 186.21 Re.upf
S 32.06 S.upf
CELL_PARAMETERS angstrom
0.000 5.063 5.063
5.063 0.000 5.063
5.063 5.063 0.000
ATOMIC_POSITIONS angstrom
Re 0.000 0.000 0.000
Re 2.531 2.531 0.000
Re 2.531 0.000 2.531
Re 0.000 2.531 2.531
S 1.266 1.266 1.266
S 8.859 8.859 8.859
```

=====

# ReS6

Crystalline ReS6 at its relaxed geometry (GGA-PBE, OQMD via LeMat-Bulk). Values from VASP.

```
&SYSTEM
  ibrav = 0, nat = 7, ntyp = 2
/
ATOMIC_SPECIES
Re 186.21 Re.upf
S 32.06 S.upf
CELL_PARAMETERS angstrom
3.581 2.067 4.055
-3.581 2.067 4.055
0.000 -4.135 4.055
ATOMIC_POSITIONS angstrom
Re 0.000 0.000 0.000
S -1.324 -2.645 5.311
S -2.953 -0.176 6.854
S -1.629 2.469 5.311
S 1.629 -2.469 6.854
S 2.953 0.176 5.311
S 1.324 2.645 6.854
```

=====

# Re6S

Crystalline Re6S at its relaxed geometry (GGA-PBE, OQMD via LeMat-Bulk). Values from VASP.

```
&SYSTEM
  ibrav = 0, nat = 7, ntyp = 2
/
ATOMIC_SPECIES
Re 186.21 Re.upf
S 32.06 S.upf
CELL_PARAMETERS angstrom
-3.267 3.267 3.267
3.267 -3.267 3.267
3.267 3.267 -3.267
ATOMIC_POSITIONS angstrom
Re 2.154 0.000 0.000
Re 4.380 0.000 0.000
Re 0.000 2.154 0.000
Re 0.000 0.000 2.154
Re 0.000 4.380 0.000
Re 0.000 0.000 4.380
S 0.000 0.000 0.000
```

=====

# Re2S

Crystalline Re2S at its relaxed geometry (GGA-PBE, OQMD via LeMat-Bulk). Values from VASP.

polymorph energy (0 for the lowest one): 0.975 eV/f.u.

```
&SYSTEM
  ibrav = 0, nat = 6, ntyp = 2
/
ATOMIC_SPECIES
Re 186.21 Re.upf
S 32.06 S.upf
CELL_PARAMETERS angstrom
0.000 3.673 3.673
3.673 0.000 3.673
3.673 3.673 0.000
ATOMIC_POSITIONS angstrom
Re 0.000 0.000 0.000
Re 1.836 1.836 0.000
Re 1.836 0.000 1.836
Re 0.000 1.836 1.836
S 2.755 2.755 2.755
S 4.591 4.591 4.591
```

=====

# Re2S

Crystalline Re2S at its relaxed geometry (GGA-PBE, OQMD via LeMat-Bulk). Values from VASP.

polymorph energy (0 for the lowest one): 0.000 eV/f.u.

```
&SYSTEM
  ibrav = 0, nat = 6, ntyp = 2
/
ATOMIC_SPECIES
Re 186.21 Re.upf
S 32.06 S.upf
CELL_PARAMETERS angstrom
5.089 0.000 0.000
0.000 5.089 0.000
0.000 0.000 3.684
ATOMIC_POSITIONS angstrom
Re 0.970 0.970 0.000
Re 1.575 3.514 1.842
Re 3.514 1.575 1.842
Re 4.119 4.119 0.000
S 0.000 0.000 1.842
S 2.545 2.545 0.000
```

=====

# Re3S4

Crystalline Re3S4 at its relaxed geometry (GGA-PBE, OQMD via LeMat-Bulk). Values from VASP.

```
&SYSTEM
  ibrav = 0, nat = 7, ntyp = 2
/
ATOMIC_SPECIES
Re 186.21 Re.upf
S 32.06 S.upf
CELL_PARAMETERS angstrom
6.207 -1.568 0.000
6.207 1.568 0.000
-2.485 0.000 5.531
ATOMIC_POSITIONS angstrom
Re 0.000 0.000 0.000
Re 2.478 0.000 1.780
Re 7.451 0.000 3.751
S 0.139 0.000 2.391
S 4.383 0.000 0.148
S 5.545 0.000 5.383
S 9.789 0.000 3.140
```

=====

# Sc3ReS

Crystalline Sc3ReS at its relaxed geometry (GGA-PBE, OQMD via LeMat-Bulk). Values from VASP.

```
&SYSTEM
  ibrav = 0, nat = 10, ntyp = 3
/
ATOMIC_SPECIES
Sc 44.96 Sc.upf
Re 186.21 Re.upf
S 32.06 S.upf
CELL_PARAMETERS angstrom
-3.580 4.797 3.309
3.580 -4.797 3.309
3.580 4.797 -3.309
ATOMIC_POSITIONS angstrom
Sc 1.790 4.006 -1.654
Sc 1.790 -0.791 1.654
Sc 0.000 2.399 1.297
Sc 3.580 2.399 2.012
Sc -1.790 5.588 1.654
Sc 1.790 5.588 1.654
Re 0.000 0.000 0.000
Re 0.000 4.797 0.000
S 3.580 2.399 -0.570
S 0.000 2.399 3.878
```

=====

# Re2SeS3

Crystalline Re2SeS3 at its relaxed geometry (GGA-PBE, OQMD via LeMat-Bulk). Values from VASP.

polymorph energy (0 for the lowest one): 0.018 eV/f.u.

```
&SYSTEM
  ibrav = 0, nat = 12, ntyp = 3
/
ATOMIC_SPECIES
Re 186.21 Re.upf
Se 78.96 Se.upf
S 32.06 S.upf
CELL_PARAMETERS angstrom
6.445 0.000 0.000
-3.139 5.772 0.000
-1.704 -1.167 6.413
ATOMIC_POSITIONS angstrom
Re -0.602 1.223 0.021
Re 2.244 1.051 0.056
Re -0.641 3.554 6.356
Re 2.204 3.381 6.391
Se -0.778 1.348 4.917
Se 2.380 3.257 1.496
S -2.471 3.996 4.836
S 0.761 0.330 1.735
S -0.680 3.444 1.145
S 2.282 1.160 5.268
S 0.842 4.274 4.678
S 4.074 0.609 1.576
```

=====

# Re2SeS3

Crystalline Re2SeS3 at its relaxed geometry (GGA-PBE, OQMD via LeMat-Bulk). Values from VASP.

polymorph energy (0 for the lowest one): 0.000 eV/f.u.

```
&SYSTEM
  ibrav = 0, nat = 12, ntyp = 3
/
ATOMIC_SPECIES
Re 186.21 Re.upf
Se 78.96 Se.upf
S 32.06 S.upf
CELL_PARAMETERS angstrom
6.471 0.000 0.000
-3.189 5.788 0.000
-1.689 -1.172 6.396
ATOMIC_POSITIONS angstrom
Re -0.589 1.204 0.017
Re 2.221 1.076 0.056
Re -0.628 3.540 6.340
Re 2.182 3.411 6.379
Se -0.720 3.440 1.334
Se 2.313 1.175 5.062
S -2.500 4.009 4.858
S 0.747 0.342 1.763
S -0.796 1.333 5.081
S 2.389 3.283 1.315
S 0.846 4.274 4.633
S 4.093 0.607 1.538
```

=====

# Re2SeS3

Crystalline Re2SeS3 at its relaxed geometry (GGA-PBE, OQMD via LeMat-Bulk). Values from VASP.

polymorph energy (0 for the lowest one): 1.227 eV/f.u.

```
&SYSTEM
  ibrav = 0, nat = 6, ntyp = 3
/
ATOMIC_SPECIES
Re 186.21 Re.upf
Se 78.96 Se.upf
S 32.06 S.upf
CELL_PARAMETERS angstrom
10.754 -1.534 0.000
10.754 1.534 0.000
-0.028 0.000 5.773
ATOMIC_POSITIONS angstrom
Re 0.000 0.000 0.000
Re 10.746 0.000 2.387
Se 12.294 0.000 4.458
S 1.694 0.000 1.658
S 9.389 0.000 4.452
S 19.805 0.000 1.662
```

=====

# Re2SeS3

Crystalline Re2SeS3 at its relaxed geometry (GGA-PBE, OQMD via LeMat-Bulk). Values from VASP.

polymorph energy (0 for the lowest one): 1.216 eV/f.u.

```
&SYSTEM
  ibrav = 0, nat = 6, ntyp = 3
/
ATOMIC_SPECIES
Re 186.21 Re.upf
Se 78.96 Se.upf
S 32.06 S.upf
CELL_PARAMETERS angstrom
5.777 0.000 0.000
0.000 3.063 0.000
-2.863 0.000 7.225
ATOMIC_POSITIONS angstrom
Re 0.000 0.000 0.000
Re -0.476 1.532 7.220
Se 1.590 1.532 5.664
S -1.216 0.000 5.521
S 1.667 0.000 1.695
S 4.460 1.532 1.340
```

=====

# ReTe3SeS

Crystalline ReTe3SeS at its relaxed geometry (GGA-PBE, OQMD via LeMat-Bulk). Values from VASP.

polymorph energy (0 for the lowest one): 0.207 eV/f.u.

```
&SYSTEM
  ibrav = 0, nat = 12, ntyp = 4
/
ATOMIC_SPECIES
Re 186.21 Re.upf
Te 127.60 Te.upf
Se 78.96 Se.upf
S 32.06 S.upf
CELL_PARAMETERS angstrom
7.034 0.000 0.000
-1.864 6.792 0.000
-3.478 -1.051 7.188
ATOMIC_POSITIONS angstrom
Re -0.322 -0.508 3.571
Re 2.014 6.249 3.617
Te -3.340 0.914 5.927
Te 1.832 0.006 0.167
Te -0.077 1.082 5.695
Te 1.769 4.660 1.493
Te -0.140 5.735 7.021
Te 5.031 4.827 1.262
Se 1.800 0.893 2.804
Se -0.109 4.849 4.384
S -3.553 4.777 4.675
S 5.245 0.964 2.513
```

=====

# ReTe2Se2S

Crystalline ReTe2Se2S at its relaxed geometry (GGA-PBE, OQMD via LeMat-Bulk). Values from VASP.

polymorph energy (0 for the lowest one): 0.575 eV/f.u.

```
&SYSTEM
  ibrav = 0, nat = 12, ntyp = 4
/
ATOMIC_SPECIES
Re 186.21 Re.upf
Te 127.60 Te.upf
Se 78.96 Se.upf
S 32.06 S.upf
CELL_PARAMETERS angstrom
7.247 0.000 0.000
-2.906 7.133 0.000
-1.853 -2.506 7.055
ATOMIC_POSITIONS angstrom
Re 1.478 0.131 0.034
Re 1.010 4.497 7.022
Te 0.564 2.659 0.161
Te 1.726 -1.541 5.583
Te 0.762 6.168 1.472
Te 1.924 1.969 6.895
Se -2.830 6.173 1.804
Se 0.010 3.451 4.816
Se 2.478 1.177 2.239
Se 5.318 -1.545 5.251
S -3.220 2.686 5.879
S 5.708 1.942 1.176
```

=====

What are the magnetization values for these records? In order: 0.001, 0.000, 0.007, 0.000, 0.000, 0.001, 0.000, 1.296, 0.003, 0.054, 0.001, 0.000, 0.000, 0.000, 0.000, 0.000, 0.000, 0.000, 0.001, 0.001 μB per atom.
What are the total DFT energy (no corrections) values for these records? In order: -12.11, -12.34, -12.00, -12.25, -12.12, -12.22, -12.42, -6.54, -5.35, -8.70, -8.27, -8.60, -7.79, -7.41, -7.30, -7.30, -7.10, -7.10, -4.92, -4.96 eV/atom.